Record 1
## Ac2AgHg (GGA-PBE)

Data for a geometry-optimized Ac2AgHg structure.

Values from the calculation:
Energy: -3.2149 eV/atom
Mass density: 9840 kg/m³
E above lowest polymorph: 0.00 eV/f.u.

Cell: 8.014 8.014 8.014 Å, 90.00 90.00 90.00°
Space group Fm-3m (No. 225)
Symmetry-distinct sites (fractional):
1 Ac 0.250 0.250 0.250 x8
2 Ag 0.000 0.000 0.000 x4
3 Hg 0.000 0.000 0.500 x4

---

Record 2
## Ac2HoAg3Hg12 (GGA-PBE)

Data for a geometry-optimized Ac2HoAg3Hg12 structure.

Values from the calculation:
Energy: -1.3967 eV/atom
Mass density: 10333 kg/m³

Cell: 8.9856 8.9856 23.0959 Å, 90.00 90.00 120.00°
Space group R-3m (No. 166, hexagonal axes)
Symmetry-distinct sites (fractional):
1 Ac 0.0000 0.0000 0.0919 x6
2 Ho 0.0000 0.0000 0.5000 x3
3 Ag 0.0000 0.5000 0.0000 x9
4 Hg 0.0707 0.5353 0.2698 x18
5 Hg 0.0897 0.5448 0.8740 x18

---

Record 3
## Ac2In6AgHg (GGA-PBE)

Data for a geometry-optimized Ac2In6AgHg structure.

Values from the calculation:
Energy: -2.9313 eV/atom
Mass density: 8149 kg/m³

Cell: 7.2130 7.2130 39.3844 Å, 90.00 90.00 120.00°
Space group R-3m (No. 166, hexagonal axes)
Symmetry-distinct sites (fractional):
1 Ac 0.0000 0.0000 0.1069 x6
2 Ac 0.0000 0.0000 0.2834 x6
3 In 0.0466 0.5233 0.2988 x18
4 In 0.0639 0.5320 0.8651 x18
5 Ag 0.0000 0.0000 0.0000 x3
6 Ag 0.0000 0.0000 0.5000 x3
7 Hg 0.0000 0.0000 0.4273 x6

---

Record 4
## Ac2In3Ag4Hg (GGA-PBE)

Data for a geometry-optimized Ac2In3Ag4Hg structure.

Values from the calculation:
Energy: -3.1004 eV/atom
Mass density: 9114 kg/m³

Cell: 4.769 4.769 11.462 Å, 90.00 90.00 90.00°
Space group P-4m2 (No. 115)
Symmetry-distinct sites (fractional):
1 Ac 0.000 0.500 0.247 x2
2 In 0.000 0.500 0.873 x2
3 In 0.500 0.500 0.500 x1
4 Ag 0.000 0.000 0.000 x1
5 Ag 0.000 0.500 0.637 x2
6 Ag 0.500 0.500 0.000 x1
7 Hg 0.000 0.000 0.500 x1

---

Record 5
## Ac2In4Ag3Hg (GGA-PBE)

Data for a geometry-optimized Ac2In4Ag3Hg structure.

Values from the calculation:
Energy: -3.1274 eV/atom
Mass density: 9019 kg/m³

Cell: 4.784 4.784 11.563 Å, 90.00 90.00 90.00°
Space group P-4m2 (No. 115)
Symmetry-distinct sites (fractional):
1 Ac 0.000 0.500 0.244 x2
2 In 0.000 0.000 0.500 x1
3 In 0.000 0.500 0.864 x2
4 In 0.500 0.500 0.500 x1
5 Ag 0.000 0.000 0.000 x1
6 Ag 0.000 0.500 0.631 x2
7 Hg 0.500 0.500 0.000 x1

---

Record 6
## AcInAgHg (GGA-PBE)

Data for a geometry-optimized AcInAgHg structure.

Values from the calculation:
Energy: -2.8732 eV/atom
Mass density: 10028 kg/m³

Cell: 7.552 7.552 7.552 Å, 90.00 90.00 90.00°
Space group F-43m (No. 216)
Symmetry-distinct sites (fractional):
1 Ac 0.000 0.000 0.000 x4
2 In 0.000 0.000 0.500 x4
3 Ag 0.250 0.250 0.750 x4
4 Hg 0.250 0.250 0.250 x4

---

Record 7
## AcIn2Ag2Hg (GGA-PBE)

Data for a geometry-optimized AcIn2Ag2Hg structure.

Values from the calculation:
Energy: -2.5606 eV/atom
Mass density: 7856 kg/m³

Cell: 4.648 4.648 17.080 Å, 90.00 90.00 90.00°
Space group I4/mmm (No. 139)
Symmetry-distinct sites (fractional):
1 Ac 0.000 0.000 0.000 x2
2 In 0.000 0.500 0.250 x4
3 Ag 0.000 0.000 0.344 x4
4 Hg 0.000 0.000 0.500 x2

---

Record 8
## Ac4In2AgHg (GGA-PBE)

Data for a geometry-optimized Ac4In2AgHg structure.

Values from the calculation:
Energy: -3.5207 eV/atom
Mass density: 8937 kg/m³

Cell: 5.7430 5.7430 28.2222 Å, 90.00 90.00 120.00°
Space group R-3m (No. 166, hexagonal axes)
Symmetry-distinct sites (fractional):
1 Ac 0.0000 0.0000 0.1234 x6
2 Ac 0.0000 0.0000 0.3734 x6
3 In 0.0000 0.0000 0.2491 x6
4 Ag 0.0000 0.0000 0.0000 x3
5 Hg 0.0000 0.0000 0.5000 x3

---

Record 9
## Ac4InAg2Hg (GGA-PBE)

Data for a geometry-optimized Ac4InAg2Hg structure.

Values from the calculation:
Energy: -3.5019 eV/atom
Mass density: 9168 kg/m³

Cell: 5.6866 5.6866 27.9229 Å, 90.00 90.00 120.00°
Space group R-3m (No. 166, hexagonal axes)
Symmetry-distinct sites (fractional):
1 Ac 0.0000 0.0000 0.1232 x6
2 Ac 0.0000 0.0000 0.3735 x6
3 In 0.0000 0.0000 0.5000 x3
4 Ag 0.0000 0.0000 0.2481 x6
5 Hg 0.0000 0.0000 0.0000 x3

---

Record 10
## Ac4AgHgIr2 (GGA-PBE)

Data for a geometry-optimized Ac4AgHgIr2 structure.

Values from the calculation:
Energy: -5.0372 eV/atom
Mass density: 10503 kg/m³

Cell: 4.386 14.026 16.456 Å, 90.00 90.00 90.00°
Space group Cmcm (No. 63)
Symmetry-distinct sites (fractional):
1 Ac 0.000 0.000 0.000 x4
2 Ac 0.000 0.279 0.089 x8
3 Ac 0.000 0.481 0.750 x4
4 Ag 0.000 0.175 0.250 x4
5 Hg 0.000 0.169 0.750 x4
6 Ir 0.000 0.369 0.578 x8

---

Record 11
## Ac2AgHgIr (GGA-PBE)

Data for a geometry-optimized Ac2AgHgIr structure.

Values from the calculation:
Energy: -4.5032 eV/atom
Mass density: 11001 kg/m³

Cell: 8.449 4.371 8.450 Å, 90.00 112.53 90.00°
Space group P2_1/m (No. 11)
Symmetry-distinct sites (fractional):
1 Ac 0.129 0.250 0.351 x2
2 Ac 0.281 0.250 0.984 x2
3 Ag 0.447 0.750 0.356 x2
4 Hg 0.317 0.750 0.680 x2
5 Ir 0.104 0.750 0.097 x2

---

Record 12
## Ac4AgHg2Ir (GGA-PBE)

Data for a geometry-optimized Ac4AgHg2Ir structure.

Values from the calculation:
Energy: -4.0403 eV/atom
Mass density: 9485 kg/m³

Cell: 7.970 4.320 8.502 Å, 90.00 105.72 90.00°
Space group P2/m (No. 10)
Symmetry-distinct sites (fractional):
1 Ac 0.214 0.000 0.207 x2
2 Ac 0.233 0.500 0.781 x2
3 Ag 0.500 0.000 0.000 x1
4 Hg 0.000 0.000 0.500 x1
5 Hg 0.500 0.500 0.500 x1
6 Ir 0.000 0.500 0.000 x1

---

Record 13
## LiAcAgHg3 (GGA-PBE)

Data for a geometry-optimized LiAcAgHg3 structure.

Values from the calculation:
Energy: -1.8340 eV/atom
Mass density: 10477 kg/m³

Cell: 6.762 13.644 6.484 Å, 90.00 90.00 90.00°
Space group Cmcm (No. 63)
Symmetry-distinct sites (fractional):
1 Li 0.000 0.061 0.250 x4
2 Ac 0.000 0.299 0.250 x4
3 Ag 0.000 0.352 0.750 x4
4 Hg 0.000 0.146 0.750 x4
5 Hg 0.220 0.500 0.000 x8

---

Record 14
## LiAcAg2Hg4 (GGA-PBE)

Data for a geometry-optimized LiAcAg2Hg4 structure.

Values from the calculation:
Energy: -1.8750 eV/atom
Mass density: 11050 kg/m³

Cell: 4.9586 4.9586 26.5087 Å, 90.00 90.00 120.00°
Space group R-3m (No. 166, hexagonal axes)
Symmetry-distinct sites (fractional):
1 Li 0.0000 0.0000 0.0000 x3
2 Ac 0.0000 0.0000 0.5000 x3
3 Ag 0.0000 0.0000 0.2555 x6
4 Hg 0.0000 0.0000 0.1053 x6
5 Hg 0.0000 0.0000 0.3681 x6

---

Record 15
## AcLuAgHg (GGA-PBE)

Data for a geometry-optimized AcLuAgHg structure.

Values from the calculation:
Energy: -3.2660 eV/atom
Mass density: 10516 kg/m³

Cell: 7.656 7.656 7.656 Å, 90.00 90.00 90.00°
Space group F-43m (No. 216)
Symmetry-distinct sites (fractional):
1 Ac 0.000 0.000 0.000 x4
2 Lu 0.000 0.000 0.500 x4
3 Ag 0.250 0.250 0.750 x4
4 Hg 0.250 0.250 0.250 x4

---

Record 16
## AcMgAg2Hg4 (GGA-PBE)

Data for a geometry-optimized AcMgAg2Hg4 structure.

Values from the calculation:
Energy: -1.7848 eV/atom
Mass density: 10914 kg/m³

Cell: 4.8709 4.8709 28.1993 Å, 90.00 90.00 120.00°
Space group R-3m (No. 166, hexagonal axes)
Symmetry-distinct sites (fractional):
1 Ac 0.0000 0.0000 0.0000 x3
2 Mg 0.0000 0.0000 0.5000 x3
3 Ag 0.0000 0.0000 0.2384 x6
4 Hg 0.0000 0.0000 0.1285 x6
5 Hg 0.0000 0.0000 0.3941 x6

---

Record 17
## Ac2Mg4AgHg3 (GGA-PBE)

Data for a geometry-optimized Ac2Mg4AgHg3 structure.

Values from the calculation:
Energy: -2.1460 eV/atom
Mass density: 7922 kg/m³

Cell: 4.841 4.841 11.279 Å, 90.00 90.00 90.00°
Space group P-4m2 (No. 115)
Symmetry-distinct sites (fractional):
1 Ac 0.000 0.500 0.240 x2
2 Mg 0.000 0.000 0.500 x1
3 Mg 0.000 0.500 0.879 x2
4 Mg 0.500 0.500 0.500 x1
5 Ag 0.500 0.500 0.000 x1
6 Hg 0.000 0.000 0.000 x1
7 Hg 0.000 0.500 0.637 x2

---

Record 18
## Ac2MgAg4Hg3 (GGA-PBE)

Data for a geometry-optimized Ac2MgAg4Hg3 structure.

Values from the calculation:
Energy: -2.4694 eV/atom
Mass density: 9835 kg/m³

Cell: 4.429 4.429 13.008 Å, 90.00 90.00 90.00°
Space group P-4m2 (No. 115)
Symmetry-distinct sites (fractional):
1 Ac 0.000 0.500 0.247 x2
2 Mg 0.000 0.000 0.500 x1
3 Ag 0.000 0.000 0.000 x1
4 Ag 0.000 0.500 0.641 x2
5 Ag 0.500 0.500 0.000 x1
6 Hg 0.000 0.500 0.859 x2
7 Hg 0.500 0.500 0.500 x1

---

Record 19
## Ac2MgAg3Hg12 (GGA-PBE)

Data for a geometry-optimized Ac2MgAg3Hg12 structure.

Values from the calculation:
Energy: -1.3084 eV/atom
Mass density: 10858 kg/m³

Cell: 6.8258 6.8258 36.4890 Å, 90.00 90.00 120.00°
Space group R-3m (No. 166, hexagonal axes)
Symmetry-distinct sites (fractional):
1 Ac 0.0000 0.0000 0.1365 x6
2 Mg 0.0000 0.0000 0.5000 x3
3 Ag 0.0000 0.5000 0.0000 x9
4 Hg 0.0166 0.5083 0.8850 x18
5 Hg 0.0333 0.5166 0.6136 x18

---

Record 20
## AcMg2AgHg4 (GGA-PBE)

Data for a geometry-optimized AcMg2AgHg4 structure.

Values from the calculation:
Energy: -1.6856 eV/atom
Mass density: 9989 kg/m³

Cell: 4.8305 4.8305 29.2670 Å, 90.00 90.00 120.00°
Space group R-3m (No. 166, hexagonal axes)
Symmetry-distinct sites (fractional):
1 Ac 0.0000 0.0000 0.0000 x3
2 Mg 0.0000 0.0000 0.2318 x6
3 Ag 0.0000 0.0000 0.5000 x3
4 Hg 0.0000 0.0000 0.1254 x6
5 Hg 0.0000 0.0000 0.3955 x6

---

Record 21
## Ac4AgHgN (GGA-PBE)

Data for a geometry-optimized Ac4AgHgN structure.

Values from the calculation:
Energy: -4.4940 eV/atom
E_form (uncorrected): -0.507 eV/atom
Mass density: 8350 kg/m³

Cell: 7.497 7.700 8.850 Å, 90.00 106.66 90.00°
Space group P2_1/m (No. 11)
Symmetry-distinct sites (fractional):
1 Ac 0.013 0.009 0.255 x4
2 Ac 0.416 0.250 0.583 x2
3 Ac 0.426 0.250 0.127 x2
4 Ag 0.220 0.750 0.551 x2
5 Hg 0.241 0.750 0.063 x2
6 N 0.237 0.250 0.308 x2

---

Record 22
## Ac2AgHgN (GGA-PBE)

Data for a geometry-optimized Ac2AgHgN structure.

Values from the calculation:
Energy: -4.5093 eV/atom
E_form (uncorrected): -0.570 eV/atom
Mass density: 9874 kg/m³

Cell: 8.228 3.801 9.277 Å, 90.00 115.82 90.00°
Space group P2_1/m (No. 11)
Symmetry-distinct sites (fractional):
1 Ac 0.011 0.250 0.321 x2
2 Ac 0.429 0.750 0.675 x2
3 Ag 0.351 0.250 0.942 x2
4 Hg 0.187 0.750 0.106 x2
5 N 0.193 0.250 0.623 x2